## Dy3Er6ThSc2 (PBE-GGA)

Data for crystalline Dy3Er6ThSc2 at its relaxed geometry.

Size of the total moment = 0.000 μB per atom
Formation energy from the elements = 36 meV/atom
VASP energy = -5.07 eV per atom
D(E_F) = 16.03 states/eV per cell
SG = No. 12

a = 6.0169 Å, b = 6.0169 Å, c = 11.5986 Å
α = 94.96°, β = 94.96°, γ = 120.00°
Atoms (fractional coordinates):
Er1 0.9181 0.5853 0.7540
Er2 0.7491 0.7491 0.2459
Er3 0.4147 0.0819 0.2460
Er4 0.2509 0.2509 0.7541
Er5 0.5853 0.9181 0.7540
Er6 0.0819 0.4147 0.2460
Dy1 0.8325 0.1675 0.5000
Dy2 0.1675 0.8325 0.5000
Dy3 0.5000 0.5000 0.5000
Th1 0.0000 0.0000 0.0000
Sc1 0.3331 0.6669 0.0000
Sc2 0.6669 0.3331 0.0000

***

## DyErTh2Sc (PBE-GGA)

Data for crystalline DyErTh2Sc at its relaxed geometry.

Size of the total moment = 0.000 μB per atom
Formation energy from the elements = 150 meV/atom
VASP energy = -5.92 eV per atom
D(E_F) = 15.06 states/eV per cell
SG = No. 11

a = 3.4456 Å, b = 8.3381 Å, c = 11.5348 Å
α = 109.84°, β = 90.00°, γ = 90.00°
Atoms (fractional coordinates):
Th1 0.7500 0.5582 0.1376
Th2 0.2500 0.4141 0.3543
Th3 0.2500 0.4418 0.8624
Th4 0.7500 0.5859 0.6457
Er1 0.7500 0.0507 0.7701
Er2 0.2500 0.9493 0.2299
Dy1 0.2500 0.1998 0.5548
Dy2 0.7500 0.8002 0.4452
Sc1 0.2500 0.1877 0.0422
Sc2 0.7500 0.8123 0.9578

***

## Dy3Er6Th2Sc (PBE-GGA)

Data for crystalline Dy3Er6Th2Sc at its relaxed geometry.

Size of the total moment = 0.000 μB per atom
Formation energy from the elements = 24 meV/atom
VASP energy = -5.17 eV per atom
D(E_F) = 16.32 states/eV per cell
SG = No. 12

a = 6.0692 Å, b = 6.0692 Å, c = 11.6465 Å
α = 95.00°, β = 95.00°, γ = 119.99°
Atoms (fractional coordinates):
Er1 0.4150 0.0820 0.2466
Er2 0.0820 0.4150 0.2466
Er3 0.2514 0.2514 0.7530
Er4 0.5850 0.9180 0.7534
Er5 0.9180 0.5850 0.7534
Er6 0.7486 0.7486 0.2470
Sc1 0.0000 0.0000 0.0000
Th1 0.6665 0.3335 0.0000
Th2 0.3335 0.6665 0.0000
Dy1 0.1664 0.8336 0.5000
Dy2 0.8336 0.1664 0.5000
Dy3 0.5000 0.5000 0.5000

***

## DyErThSc3 (PBE-GGA)

Data for crystalline DyErThSc3 at its relaxed geometry.

Size of the total moment = 0.000 μB per atom
Formation energy from the elements = 49 meV/atom
VASP energy = -5.88 eV per atom
D(E_F) = 17.09 states/eV per cell
SG = No. 11

a = 3.4364 Å, b = 10.1303 Å, c = 10.1017 Å
α = 108.26°, β = 90.00°, γ = 90.00°
Atoms (fractional coordinates):
Sc1 0.2500 0.6181 0.4576
Sc2 0.2500 0.6170 0.7908
Sc3 0.7500 0.3819 0.5424
Sc4 0.2500 0.1275 0.9629
Sc5 0.7500 0.3830 0.2092
Sc6 0.7500 0.8725 0.0371
Th1 0.2500 0.6284 0.1253
Th2 0.7500 0.3716 0.8747
Dy1 0.2500 0.1309 0.2874
Dy2 0.7500 0.8691 0.7126
Er1 0.2500 0.1283 0.6231
Er2 0.7500 0.8717 0.3769

***

## Dy6Er2ThSc (PBE-GGA)

Data for crystalline Dy6Er2ThSc at its relaxed geometry.

Size of the total moment = 0.000 μB per atom
Formation energy from the elements = 147 meV/atom
VASP energy = -4.90 eV per atom
D(E_F) = 27.25 states/eV per cell
SG = No. 15

a = 8.6137 Å, b = 9.0699 Å, c = 9.0699 Å
α = 118.23°, β = 90.65°, γ = 90.65°
Atoms (fractional coordinates):
Dy1 0.9468 0.8628 0.2056
Dy2 0.5914 0.4792 0.7350
Dy3 0.4086 0.5208 0.2650
Dy4 0.2100 0.5462 0.9582
Dy5 0.0914 0.7350 0.4792
Dy6 0.2900 0.0418 0.4538
Dy7 0.0532 0.1372 0.7944
Dy8 0.7100 0.9582 0.5462
Dy9 0.9086 0.2650 0.5208
Dy10 0.4468 0.2056 0.8628
Dy11 0.5532 0.7944 0.1372
Dy12 0.7900 0.4538 0.0418
Er1 0.9410 0.6755 0.7891
Er2 0.0590 0.3245 0.2109
Er3 0.5590 0.2109 0.3245
Er4 0.4410 0.7891 0.6755
Th1 0.2500 0.9670 0.0330
Th2 0.7500 0.0330 0.9670
Sc1 0.7500 0.5581 0.4419
Sc2 0.2500 0.4419 0.5581

***

## DyEr2ThSc4 (PBE-GGA)

Data for crystalline DyEr2ThSc4 at its relaxed geometry.

Size of the total moment = 0.000 μB per atom
Formation energy from the elements = 41 meV/atom
VASP energy = -5.77 eV per atom
D(E_F) = 12.13 states/eV per cell
SG = No. 123

a = 4.9225 Å, b = 4.9246 Å, c = 10.3868 Å
α = 61.71°, β = 90.00°, γ = 90.00°
Atoms (fractional coordinates):
Th1 0.0000 0.5000 0.5000
Sc1 0.0000 0.2478 0.2521
Sc2 0.5000 0.7478 0.2520
Sc3 0.0000 0.7522 0.7479
Sc4 0.5000 0.2522 0.7480
Er1 0.0000 0.0000 0.0000
Er2 0.5000 0.0000 0.5000
Dy1 0.5000 0.5000 0.0000

***

Repeat the fifth record exactly.
## Dy6Er2ThSc (PBE-GGA)

Data for crystalline Dy6Er2ThSc at its relaxed geometry.

Size of the total moment = 0.000 μB per atom
Formation energy from the elements = 147 meV/atom
VASP energy = -4.90 eV per atom
D(E_F) = 27.25 states/eV per cell
SG = No. 15

a = 8.6137 Å, b = 9.0699 Å, c = 9.0699 Å
α = 118.23°, β = 90.65°, γ = 90.65°
Atoms (fractional coordinates):
Dy1 0.9468 0.8628 0.2056
Dy2 0.5914 0.4792 0.7350
Dy3 0.4086 0.5208 0.2650
Dy4 0.2100 0.5462 0.9582
Dy5 0.0914 0.7350 0.4792
Dy6 0.2900 0.0418 0.4538
Dy7 0.0532 0.1372 0.7944
Dy8 0.7100 0.9582 0.5462
Dy9 0.9086 0.2650 0.5208
Dy10 0.4468 0.2056 0.8628
Dy11 0.5532 0.7944 0.1372
Dy12 0.7900 0.4538 0.0418
Er1 0.9410 0.6755 0.7891
Er2 0.0590 0.3245 0.2109
Er3 0.5590 0.2109 0.3245
Er4 0.4410 0.7891 0.6755
Th1 0.2500 0.9670 0.0330
Th2 0.7500 0.0330 0.9670
Sc1 0.7500 0.5581 0.4419
Sc2 0.2500 0.4419 0.5581